Entry from the Alexandria database: a relaxed KInPt4 crystal (PBE).

```
KInPt4
1.0
0.000 3.860 3.860
3.860 0.000 3.860
3.860 3.860 0.000
K In Pt
1 1 4
direct
0.000 0.000 0.000
0.250 0.250 0.250
0.126 0.625 0.625
0.625 0.126 0.625
0.625 0.625 0.126
0.625 0.625 0.625
```

---

Entry from the Alexandria database: a relaxed KIn12Pt4 crystal (PBE).

```
KIn12Pt4
1.0
-4.873 4.873 4.873
4.873 -4.873 4.873
4.873 4.873 -4.873
K In Pt
1 12 4
direct
0.000 0.000 0.000
0.169 0.339 0.830
0.170 0.509 0.339
0.170 0.831 0.661
0.339 0.170 0.509
0.339 0.830 0.169
0.491 0.661 0.830
0.509 0.339 0.170
0.661 0.170 0.831
0.661 0.830 0.491
0.830 0.169 0.339
0.830 0.491 0.661
0.831 0.661 0.170
0.000 0.000 0.500
0.000 0.500 0.000
0.500 0.000 0.000
0.500 0.500 0.500
```

---

Entry from the Alexandria database: a relaxed KIn6Pt4 crystal (PBE).

```
KIn6Pt4
1.0
-3.558 3.558 5.057
3.558 -3.558 5.057
3.558 3.558 -5.057
K In Pt
1 6 4
direct
0.000 0.000 0.000
0.000 0.500 0.500
0.114 0.114 0.642
0.472 0.472 0.358
0.500 0.000 0.500
0.528 0.886 0.000
0.886 0.528 0.000
0.252 0.588 0.000
0.412 0.412 0.664
0.588 0.252 0.000
0.748 0.748 0.336
```

---

Entry from the Alexandria database: a relaxed K3In3Pt2 crystal (PBE).

```
K3In3Pt2
1.0
9.038 0.000 0.000
0.000 16.165 0.000
0.000 0.000 6.624
K In Pt
12 12 8
direct
0.041 0.111 0.104
0.041 0.389 0.104
0.224 0.250 0.563
0.276 0.750 0.063
0.459 0.611 0.604
0.459 0.889 0.604
0.541 0.111 0.396
0.541 0.389 0.396
0.724 0.250 0.937
0.776 0.750 0.437
0.959 0.611 0.896
0.959 0.889 0.896
0.141 0.750 0.525
0.167 0.039 0.622
0.167 0.461 0.622
0.333 0.539 0.122
0.333 0.961 0.122
0.359 0.250 0.025
0.641 0.750 0.975
0.667 0.039 0.878
0.667 0.461 0.878
0.833 0.539 0.378
0.833 0.961 0.378
0.859 0.250 0.475
0.120 0.595 0.381
0.120 0.905 0.381
0.380 0.095 0.881
0.380 0.405 0.881
0.620 0.595 0.119
0.620 0.905 0.119
0.880 0.095 0.619
0.880 0.405 0.619
```

---

Entry from the Alexandria database: a relaxed KInPt2 crystal (PBE).

```
KInPt2
1.0
5.219 0.000 0.000
0.000 5.219 0.000
0.000 0.000 2.961
K In Pt
1 1 2
direct
0.000 0.000 0.000
0.500 0.500 0.000
0.000 0.500 0.500
0.500 0.000 0.500
```

---

Entry from the Alexandria database: a relaxed K3InPt crystal (PBE).

```
K3InPt
1.0
6.148 0.000 0.000
0.000 6.148 0.000
0.000 0.000 6.148
K In Pt
3 1 1
direct
0.000 0.000 0.500
0.000 0.500 0.000
0.500 0.000 0.000
0.500 0.500 0.500
0.000 0.000 0.000
```

energy above the most stable polymorph in this dataset	0	meV/atom

---

Entry from the Alexandria database: a relaxed KInPt2 crystal (PBE).

```
KInPt2
1.0
8.786 0.000 0.000
0.000 3.011 0.000
-0.908 0.000 7.276
K In Pt
2 2 4
direct
0.000 0.000 0.000
0.500 0.500 0.000
0.000 0.500 0.500
0.500 0.000 0.500
0.235 0.000 0.667
0.265 0.500 0.333
0.735 0.500 0.667
0.765 0.000 0.333
```

---

Entry from the Alexandria database: a relaxed KIn6Pt3 crystal (PBE).

```
KIn6Pt3
1.0
6.587 0.000 0.000
3.266 5.767 0.000
3.232 1.922 6.607
K In Pt
1 6 3
direct
0.000 0.000 0.000
0.080 0.544 0.789
0.270 0.876 0.365
0.494 0.275 0.357
0.539 0.586 0.787
0.583 0.089 0.785
0.880 0.492 0.359
0.301 0.298 0.095
0.636 0.648 0.077
0.825 0.832 0.511
```

---

Entry from the Alexandria database: a relaxed K2In2Pt3 crystal (PBE).

```
K2In2Pt3
1.0
12.878 0.000 0.000
0.000 4.539 0.000
-4.067 0.000 6.713
K In Pt
4 4 6
direct
0.135 0.000 0.237
0.365 0.500 0.763
0.635 0.500 0.237
0.865 0.000 0.763
0.117 0.000 0.705
0.383 0.500 0.295
0.617 0.500 0.705
0.883 0.000 0.295
0.000 0.500 0.500
0.179 0.500 0.917
0.321 0.000 0.083
0.500 0.000 0.500
0.679 0.000 0.917
0.821 0.500 0.083
```

---

Entry from the Alexandria database: a relaxed KIn6Pt6 crystal (PBE).

```
KIn6Pt6
1.0
-2.821 4.664 4.901
2.821 -4.664 4.901
2.821 4.664 -4.901
K In Pt
1 6 6
direct
0.000 0.000 0.000
0.174 0.674 0.500
0.334 0.000 0.334
0.340 0.340 0.000
0.660 0.660 0.000
0.666 0.000 0.666
0.826 0.326 0.500
0.000 0.000 0.500
0.000 0.500 0.000
0.243 0.500 0.743
0.500 0.000 0.000
0.500 0.500 0.500
0.757 0.500 0.257
```

---

Entry from the Alexandria database: a relaxed K3In8Pt3 crystal (PBE).

```
K3In8Pt3
1.0
8.760 -2.504 0.000
8.760 2.504 0.000
-5.087 0.000 8.145
K In Pt
3 8 3
direct
0.000 0.000 0.000
0.284 0.284 0.279
0.716 0.716 0.721
0.133 0.133 0.830
0.154 0.154 0.450
0.344 0.344 0.963
0.492 0.492 0.660
0.508 0.508 0.340
0.656 0.656 0.037
0.846 0.846 0.550
0.867 0.867 0.170
0.000 0.000 0.500
0.342 0.342 0.677
0.658 0.658 0.323
```

---

Entry from the Alexandria database: a relaxed KInPt2 crystal (PBE).

```
KInPt2
1.0
6.487 0.000 0.000
0.000 8.212 0.000
0.000 0.000 2.981
K In Pt
2 2 4
direct
0.000 0.000 0.000
0.500 0.500 0.000
0.000 0.500 0.000
0.500 0.000 0.000
0.250 0.250 0.500
0.250 0.750 0.500
0.750 0.250 0.500
0.750 0.750 0.500
```

---

Entry from the Alexandria database: a relaxed KInPt2 crystal (PBE).

```
KInPt2
1.0
4.486 0.000 0.000
0.000 4.486 0.000
0.000 0.000 3.984
K In Pt
1 1 2
direct
0.000 0.000 0.000
0.500 0.500 0.000
0.000 0.500 0.500
0.500 0.000 0.500
```

---

Entry from the Alexandria database: a relaxed K3In6Pt5 crystal (PBE).

```
K3In6Pt5
1.0
4.426 0.000 0.000
0.000 14.208 0.000
0.000 0.000 11.262
K In Pt
6 12 10
direct
0.250 0.102 0.244
0.250 0.398 0.244
0.250 0.750 0.266
0.750 0.250 0.734
0.750 0.602 0.756
0.750 0.898 0.756
0.250 0.047 0.600
0.250 0.250 0.480
0.250 0.250 0.959
0.250 0.453 0.600
0.250 0.578 0.008
0.250 0.922 0.008
0.750 0.078 0.992
0.750 0.422 0.992
0.750 0.547 0.400
0.750 0.750 0.041
0.750 0.750 0.520
0.750 0.953 0.400
0.250 0.073 0.847
0.250 0.427 0.847
0.250 0.636 0.515
0.250 0.750 0.905
0.250 0.864 0.515
0.750 0.136 0.485
0.750 0.250 0.095
0.750 0.364 0.485
0.750 0.573 0.153
0.750 0.927 0.153
```

---

Entry from the Alexandria database: a relaxed KIn3Pt crystal (PBE).

```
KIn3Pt
1.0
8.975 0.000 0.000
0.000 4.611 0.000
0.000 0.000 12.745
K In Pt
4 12 4
direct
0.172 0.250 0.002
0.328 0.750 0.502
0.672 0.250 0.498
0.828 0.750 0.998
0.062 0.250 0.578
0.115 0.750 0.786
0.147 0.750 0.224
0.353 0.250 0.724
0.385 0.250 0.286
0.438 0.750 0.078
0.562 0.250 0.922
0.615 0.750 0.714
0.647 0.750 0.276
0.853 0.250 0.776
0.885 0.250 0.214
0.938 0.750 0.422
0.102 0.250 0.361
0.398 0.750 0.861
0.602 0.250 0.139
0.898 0.750 0.639
```

energy above the most stable polymorph in this dataset	0	meV/atom

---

Entry from the Alexandria database: a relaxed K2In12Pt7 crystal (PBE).

```
K2In12Pt7
1.0
11.087 0.000 0.000
-5.544 9.602 0.000
0.000 0.000 4.444
K In Pt
2 12 7
direct
0.000 0.000 0.000
0.333 0.667 0.500
0.032 0.272 0.500
0.135 0.725 0.000
0.241 0.968 0.500
0.275 0.410 0.000
0.379 0.195 0.000
0.546 0.428 0.500
0.572 0.117 0.500
0.590 0.865 0.000
0.728 0.759 0.500
0.805 0.184 0.000
0.816 0.621 0.000
0.883 0.454 0.500
0.039 0.440 0.000
0.260 0.242 0.500
0.401 0.961 0.000
0.560 0.599 0.000
0.667 0.333 0.000
0.758 0.019 0.500
0.981 0.740 0.500
```

---

Entry from the Alexandria database: a relaxed KInPt2 crystal (PBE).

```
KInPt2
1.0
3.124 0.000 0.000
-1.562 2.705 0.000
0.000 0.000 29.204
K In Pt
3 3 6
direct
0.000 0.000 0.000
0.333 0.667 0.667
0.667 0.333 0.333
0.000 0.000 0.500
0.333 0.667 0.167
0.667 0.333 0.833
0.000 0.000 0.240
0.000 0.000 0.760
0.333 0.667 0.427
0.333 0.667 0.907
0.667 0.333 0.093
0.667 0.333 0.573
```

---

Entry from the Alexandria database: a relaxed K3In2Pt4 crystal (PBE).

```
K3In2Pt4
1.0
6.148 -2.272 0.000
6.148 2.272 0.000
-2.497 0.000 8.895
K In Pt
3 2 4
direct
0.000 0.000 0.000
0.363 0.363 0.629
0.637 0.637 0.371
0.340 0.340 0.229
0.660 0.660 0.771
0.076 0.076 0.627
0.238 0.238 0.917
0.762 0.762 0.083
0.924 0.924 0.373
```

---

Entry from the Alexandria database: a relaxed KInPt2 crystal (PBE).

```
KInPt2
1.0
2.895 0.000 0.000
0.000 5.215 0.000
0.000 0.000 11.207
K In Pt
2 2 4
direct
0.000 0.000 0.000
0.500 0.500 0.500
0.000 0.500 0.205
0.500 0.000 0.705
0.000 0.000 0.492
0.000 0.500 0.784
0.500 0.000 0.284
0.500 0.500 0.992
```

---

Entry from the Alexandria database: a relaxed K2InPt crystal (PBE).

```
K2InPt
1.0
4.409 0.000 0.000
0.000 4.608 0.000
0.000 0.000 10.823
K In Pt
4 2 2
direct
0.000 0.000 0.240
0.000 0.000 0.760
0.500 0.500 0.260
0.500 0.500 0.740
0.000 0.500 0.000
0.500 0.000 0.500
0.000 0.500 0.500
0.500 0.000 0.000
```

---

Total DFT energy (no corrections) (Ha/atom)
-0.179 -0.134 -0.155 -0.119 -0.145 -0.081 -0.148 -0.142 -0.146 -0.168 -0.124 -0.145 -0.143 -0.143 -0.125 -0.151 -0.144 -0.146 -0.150 -0.097
ΔH_f (0 K) (meV per atom)
-210 -221 -440 -292 41 216 -51 -291 -280 -448 -281 36 96 -334 -319 -424 51 -308 -100 110